An optimized crystal structure of In12Bi5Sb3, computed with PBE.

Lattice parameters (Å, degrees): 15.567 15.567 15.567 109.47 109.47 109.47
Sites, in units of the cell vectors:
In 0.066 0.231 0.147
In 0.066 0.335 0.919
In 0.081 0.647 0.416
In 0.081 0.934 0.665
In 0.084 0.731 0.665
In 0.084 0.853 0.419
In 0.147 0.066 0.231
In 0.147 0.581 0.916
In 0.165 0.231 0.584
In 0.165 0.434 0.581
In 0.231 0.147 0.066
In 0.231 0.584 0.165
In 0.269 0.335 0.916
In 0.269 0.434 0.353
In 0.335 0.916 0.269
In 0.335 0.919 0.066
In 0.353 0.269 0.434
In 0.353 0.584 0.919
In 0.416 0.081 0.647
In 0.416 0.835 0.769
In 0.419 0.084 0.853
In 0.419 0.835 0.566
In 0.434 0.353 0.269
In 0.434 0.581 0.165
In 0.566 0.419 0.835
In 0.566 0.647 0.731
In 0.581 0.165 0.434
In 0.581 0.916 0.147
In 0.584 0.165 0.231
In 0.584 0.919 0.353
In 0.647 0.416 0.081
In 0.647 0.731 0.566
In 0.665 0.081 0.934
In 0.665 0.084 0.731
In 0.731 0.566 0.647
In 0.731 0.665 0.084
In 0.769 0.416 0.835
In 0.769 0.853 0.934
In 0.835 0.566 0.419
In 0.835 0.769 0.416
In 0.853 0.419 0.084
In 0.853 0.934 0.769
In 0.916 0.147 0.581
In 0.916 0.269 0.335
In 0.919 0.066 0.335
In 0.919 0.353 0.584
In 0.934 0.665 0.081
In 0.934 0.769 0.853
Bi 0.000 0.000 0.000
Bi 0.000 0.000 0.500
Bi 0.000 0.500 0.000
Bi 0.000 0.500 0.500
Bi 0.125 0.750 0.875
Bi 0.125 0.875 0.250
Bi 0.250 0.125 0.875
Bi 0.250 0.625 0.375
Bi 0.375 0.250 0.625
Bi 0.375 0.625 0.750
Bi 0.500 0.000 0.000
Bi 0.500 0.000 0.500
Bi 0.500 0.500 0.000
Bi 0.500 0.500 0.500
Bi 0.625 0.375 0.250
Bi 0.625 0.750 0.375
Bi 0.750 0.375 0.625
Bi 0.750 0.875 0.125
Bi 0.875 0.125 0.750
Bi 0.875 0.250 0.125
Sb 0.125 0.250 0.375
Sb 0.125 0.375 0.750
Sb 0.250 0.375 0.125
Sb 0.250 0.875 0.625
Sb 0.375 0.125 0.250
Sb 0.375 0.750 0.125
Sb 0.625 0.250 0.875
Sb 0.625 0.875 0.750
Sb 0.750 0.125 0.375
Sb 0.750 0.625 0.875
Sb 0.875 0.625 0.250
Sb 0.875 0.750 0.625

Summary:
E   -3.12 eV/atom
Formation energy without anion corrections   0.116 eV per atom
SG   Ia-3d
D(E_F)   32.7 states/eV/cell

=====

An optimized crystal structure of InBi2Sb2, computed with PBE.

Lattice parameters (Å, degrees): 8.619 8.619 4.193 90.00 90.00 90.00
Sites, in units of the cell vectors:
In 0.000 0.000 0.000
In 0.500 0.500 0.000
Bi 0.150 0.350 0.500
Bi 0.350 0.850 0.500
Bi 0.650 0.150 0.500
Bi 0.850 0.650 0.500
Sb 0.157 0.657 0.000
Sb 0.343 0.157 0.000
Sb 0.657 0.843 0.000
Sb 0.843 0.343 0.000

Summary:
E   -3.62 eV/atom
Formation energy without anion corrections   0.127 eV per atom
SG   P4/mbm
D(E_F)   5.7 states/eV/cell
Energy above the lowest structure with this stoichiometry   0.0 meV per atom

=====

An optimized crystal structure of In2BiSb, computed with PBE.

Lattice parameters (Å, degrees): 3.535 3.535 9.235 90.00 90.00 90.00
Sites, in units of the cell vectors:
In 0.000 0.000 0.237
In 0.000 0.000 0.763
Bi 0.500 0.500 0.500
Sb 0.500 0.500 0.000

Summary:
E   -3.30 eV/atom
Formation energy without anion corrections   0.071 eV per atom
SG   P4/mmm
D(E_F)   1.8 states/eV/cell
Energy above the lowest structure with this stoichiometry   120.7 meV per atom

=====

An optimized crystal structure of InBiSb2, computed with PBE.

Lattice parameters (Å, degrees): 7.648 7.648 7.648 33.75 33.75 33.75
Sites, in units of the cell vectors:
In 0.000 0.000 0.000
Bi 0.500 0.500 0.500
Sb 0.255 0.255 0.255
Sb 0.745 0.745 0.745

Summary:
E   -3.68 eV/atom
Formation energy without anion corrections   0.032 eV per atom
SG   R-3m
D(E_F)   2.0 states/eV/cell
Energy above the lowest structure with this stoichiometry   0.0 meV per atom